Entry 1:
{"formula": "Tl2FeAs", "functional": "SCAN", "state": "PBEsol geometry", "relative_energy_mev_per_atom": 46, "lattice_angstrom": [[-2.484, -1.687, 1.385], [-2.356, -1.332, -1.900], [3.075, -8.415, -0.789]], "species": ["As", "Fe", "Tl", "Tl"], "frac_coords": [[0.523, 0.523, 0.432], [0.239, 0.239, 0.282], [0.983, 0.983, 0.051], [0.755, 0.755, 0.735]]}

Entry 2:
{"formula": "CaBTe2", "functional": "SCAN", "state": "PBEsol geometry", "formation_energy_uncorrected_ev_per_atom": 0.473, "lattice_angstrom": [[3.611, 0.000, 0.000], [1.806, 3.127, 0.000], [1.806, 1.042, 8.987]], "species": ["Ca", "Te", "Te", "B"], "frac_coords": [[0.000, 0.000, 0.000], [0.886, 0.886, 0.342], [0.114, 0.114, 0.658], [0.500, 0.500, 0.500]]}

Entry 3:
{"formula": "Cr2NiSb", "functional": "SCAN", "state": "PBEsol geometry", "formation_energy_uncorrected_ev_per_atom": 0.020, "lattice_angstrom": [[4.252, 0.000, 0.000], [2.126, 3.682, 0.000], [2.126, 1.227, 3.472]], "species": ["Cr", "Cr", "Ni", "Sb"], "frac_coords": [[0.000, 0.000, 0.000], [0.750, 0.750, 0.750], [0.500, 0.500, 0.500], [0.250, 0.250, 0.250]]}

Entry 4:
{"formula": "TiCrBS2", "functional": "SCAN", "state": "PBEsol geometry", "formation_energy_uncorrected_ev_per_atom": 0.923, "lattice_angstrom": [[-2.598, -0.813, 4.007], [-3.221, -2.008, -2.496], [2.080, -4.003, 0.536]], "species": ["Cr", "S", "S", "B", "Ti"], "frac_coords": [[0.500, 0.000, 0.000], [0.000, 0.000, 0.500], [0.000, 0.500, 0.000], [0.500, 0.500, 0.500], [0.000, 0.000, 0.000]]}